Record 1
Below is ScHgB2 after structural relaxation, with properties calculated at the PBE-GGA level.

The crystal system is cubic. As for the total magnetic moment: 0.0 μB/cell.

It has space group F-43m (No. 216), with a = 6.1702 Å, b = 6.1702 Å, c = 6.1702 Å, α = 90.00°, β = 90.00° and γ = 90.00°. Symmetry generates all atoms from Sc at (0.0000, 0.0000, 0.0000), Hg at (0.2500, 0.2500, 0.2500), B at (0.0000, 0.0000, 0.5000) and B at (0.2500, 0.2500, 0.7500).


Record 2
Below is Sc2HgB after structural relaxation, with properties calculated at the PBE-GGA level.

The crystal system is cubic. As for the total magnetic moment: 8.4 μB/cell.

It has space group F-43m (No. 216), with a = 6.5984 Å, b = 6.5984 Å, c = 6.5984 Å, α = 90.00°, β = 90.00° and γ = 90.00°. Symmetry generates all atoms from Sc at (0.0000, 0.0000, 0.0000), Sc at (0.2500, 0.2500, 0.2500), Hg at (0.2500, 0.2500, 0.7500) and B at (0.0000, 0.0000, 0.5000).


Record 3
Below is Si2Hg2B after structural relaxation, with properties calculated at the PBE-GGA level.

The crystal system is orthorhombic.

It has space group Fmmm (No. 69), with a = 6.2081 Å, b = 6.2156 Å, c = 10.9291 Å, α = 90.00°, β = 90.00° and γ = 90.00°. Symmetry generates all atoms from Si at (0.0000, 0.0000, 0.1037), Hg at (0.2500, 0.2500, 0.2500) and B at (0.0000, 0.0000, 0.5000).


Record 4
Below is SmHgB4 after structural relaxation, with properties calculated at the PBE-GGA level.

The crystal system is orthorhombic. As for the total magnetic moment: 0.0 μB/cell.

It has space group Immm (No. 71), with a = 3.2219 Å, b = 5.3606 Å, c = 8.5826 Å, α = 90.00°, β = 90.00° and γ = 90.00°. Symmetry generates all atoms from Sm at (0.0000, 0.0000, 0.0000), Hg at (0.0000, 0.0000, 0.5000) and B at (0.0000, 0.3173, 0.2648).


Record 5
Below is SmHgB4 after structural relaxation, with properties calculated at the PBE-GGA level.

The crystal system is hexagonal. As for the total magnetic moment: 0.0 μB/cell.

It has space group P6/mmm (No. 191), with a = 3.2271 Å, b = 3.2271 Å, c = 8.0902 Å, α = 90.00°, β = 90.00° and γ = 120.00°. Symmetry generates all atoms from Sm at (0.0000, 0.0000, 0.0000), Hg at (0.0000, 0.0000, 0.5000) and B at (0.3333, 0.6667, 0.2474).


Record 6
Below is Sn2HgB after structural relaxation, with properties calculated at the PBE-GGA level.

The crystal system is cubic.

It has space group F-43m (No. 216), with a = 7.1011 Å, b = 7.1011 Å, c = 7.1011 Å, α = 90.00°, β = 90.00° and γ = 90.00°. Symmetry generates all atoms from Sn at (0.0000, 0.0000, 0.0000), Sn at (0.2500, 0.2500, 0.2500), Hg at (0.2500, 0.2500, 0.7500) and B at (0.0000, 0.0000, 0.5000).


Record 7
Below is SnHgB2 after structural relaxation, with properties calculated at the PBE-GGA level.

The crystal system is cubic.

It has space group F-43m (No. 216), with a = 6.5247 Å, b = 6.5247 Å, c = 6.5247 Å, α = 90.00°, β = 90.00° and γ = 90.00°. Symmetry generates all atoms from Sn at (0.0000, 0.0000, 0.0000), Hg at (0.2500, 0.2500, 0.2500), B at (0.0000, 0.0000, 0.5000) and B at (0.2500, 0.2500, 0.7500).


Record 8
Below is SnHgB after structural relaxation, with properties calculated at the PBE-GGA level.

The crystal system is cubic.

It has space group F-43m (No. 216), with a = 6.2051 Å, b = 6.2051 Å, c = 6.2051 Å, α = 90.00°, β = 90.00° and γ = 90.00°. Symmetry generates all atoms from Sn at (0.0000, 0.0000, 0.0000), Hg at (0.0000, 0.0000, 0.5000) and B at (0.2500, 0.2500, 0.7500).


Record 9
Below is Zr4SnHgB2 after structural relaxation, with properties calculated at the PBE-GGA level.

The crystal system is hexagonal. As for the total magnetic moment: 0.0 μB/cell.

It has space group P-6m2 (No. 187), with a = 3.4561 Å, b = 3.4561 Å, c = 14.9912 Å, α = 90.00°, β = 90.00° and γ = 120.00°. Symmetry generates all atoms from Zr at (0.0000, 0.0000, 0.1624), Zr at (0.6667, 0.3333, 0.3371), Sn at (0.6667, 0.3333, 0.0000), Hg at (0.0000, 0.0000, 0.5000) and B at (0.3333, 0.6667, 0.2493).


Record 10
Below is SrHgB after structural relaxation, with properties calculated at the PBE-GGA level.

The crystal system is cubic.

It has space group F-43m (No. 216), with a = 6.5435 Å, b = 6.5435 Å, c = 6.5435 Å, α = 90.00°, β = 90.00° and γ = 90.00°. Symmetry generates all atoms from Sr at (0.0000, 0.0000, 0.0000), Hg at (0.0000, 0.0000, 0.5000) and B at (0.2500, 0.2500, 0.7500).


Record 11
Below is SrHgB2 after structural relaxation, with properties calculated at the PBE-GGA level.

The crystal system is cubic.

It has space group F-43m (No. 216), with a = 6.7205 Å, b = 6.7205 Å, c = 6.7205 Å, α = 90.00°, β = 90.00° and γ = 90.00°. Symmetry generates all atoms from Sr at (0.0000, 0.0000, 0.0000), Hg at (0.2500, 0.2500, 0.2500), B at (0.0000, 0.0000, 0.5000) and B at (0.2500, 0.2500, 0.7500).


Record 12
Below is SrHgB after structural relaxation, with properties calculated at the PBE-GGA level.

The crystal system is cubic.

It has space group F-43m (No. 216), with a = 6.8129 Å, b = 6.8129 Å, c = 6.8129 Å, α = 90.00°, β = 90.00° and γ = 90.00°. Symmetry generates all atoms from Sr at (0.0000, 0.0000, 0.0000), Hg at (0.2500, 0.2500, 0.7500) and B at (0.0000, 0.0000, 0.5000).


Electronic total energy for the records above, in order: -3.834 -4.213 -2.357 -5.229 -4.997 -2.758 -2.612 -2.733 -6.963 -2.402 -2.456 -2.031 eV per atom
Volume for the records above, in order: 234.91 287.29 421.72 148.23 72.97 358.07 277.77 238.92 155.07 280.17 303.53 316.23 Å³ per cell